(1)
VASP calculation (PBE) on a relaxed structure of Ca2PuHfN4.

Unit cell a=5.861 b=3.393 c=5.959 alpha=90.00 beta=108.96 gamma=90.00
Atoms (fractional coordinates):
Ca: 0.000 0.000 0.000
Ca: 0.500 0.500 0.000
Pu: 0.000 0.500 0.500
Hf: 0.500 0.000 0.500
N: 0.247 0.000 0.712
N: 0.268 0.500 0.286
N: 0.732 0.500 0.714
N: 0.753 0.000 0.288

Properties
energy: -9.08 eV/atom

(2)
VASP calculation (PBE) on a relaxed structure of NpGaAu2.

Unit cell a=4.694 b=6.308 c=6.308 alpha=116.95 beta=90.00 gamma=90.00
Atoms (fractional coordinates):
Np: 0.250 0.138 0.862
Np: 0.750 0.862 0.138
Ga: 0.250 0.209 0.383
Ga: 0.750 0.383 0.209
Au: 0.250 0.622 0.799
Au: 0.250 0.662 0.309
Au: 0.750 0.309 0.662
Au: 0.750 0.799 0.622

Properties
formation energy from the elements: -13.9 kJ/mol of atoms

(3)
VASP calculation (PBE) on a relaxed structure of LaHo4Tm8.

Unit cell a=9.838 b=9.838 c=9.838 alpha=43.09 beta=43.09 gamma=43.09
Atoms (fractional coordinates):
La: 0.000 0.000 0.000
Ho: 0.000 0.000 0.500
Ho: 0.000 0.500 0.000
Ho: 0.500 0.000 0.000
Ho: 0.500 0.500 0.500
Tm: 0.250 0.250 0.694
Tm: 0.250 0.694 0.250
Tm: 0.281 0.281 0.281
Tm: 0.306 0.750 0.750
Tm: 0.694 0.250 0.250
Tm: 0.719 0.719 0.719
Tm: 0.750 0.306 0.750
Tm: 0.750 0.750 0.306

Properties
formation energy from the elements: 19.5 kJ/mol of atoms

(4)
VASP calculation (PBE) on a relaxed structure of Ca2TmMg3.

Unit cell a=3.831 b=3.831 c=12.035 alpha=90.00 beta=90.00 gamma=90.00
Atoms (fractional coordinates):
Ca: 0.000 0.000 0.175
Ca: 0.000 0.000 0.825
Tm: 0.000 0.000 0.500
Mg: 0.500 0.500 0.000
Mg: 0.500 0.500 0.348
Mg: 0.500 0.500 0.652

Properties
formation energy from the elements: -6.3 kJ/mol of atoms

(5)
VASP calculation (PBE) on a relaxed structure of Li2CuNi.

Unit cell a=2.479 b=3.871 c=5.158 alpha=90.00 beta=90.00 gamma=90.00
Atoms (fractional coordinates):
Li: 0.000 0.000 0.000
Li: 0.500 0.500 0.272
Cu: 0.500 0.500 0.740
Ni: 0.000 0.000 0.522

Properties
formation energy from the elements: -0.1 kJ/mol of atoms
ΔE to the lowest computed polymorph: 0.011 eV per atom

(6)
VASP calculation (PBE) on a relaxed structure of CePaBiTe.

Unit cell a=5.445 b=5.445 c=5.445 alpha=60.00 beta=60.00 gamma=60.00
Atoms (fractional coordinates):
Ce: 0.000 0.000 0.000
Pa: 0.500 0.500 0.500
Bi: 0.750 0.750 0.750
Te: 0.250 0.250 0.250

Properties
energy: -6.24 eV/atom

(7)
VASP calculation (PBE) on a relaxed structure of Li2DyMg4.

Unit cell a=11.241 b=11.241 c=3.112 alpha=90.00 beta=90.00 gamma=155.55
Atoms (fractional coordinates):
Li: 0.219 0.781 0.000
Li: 0.781 0.219 0.000
Dy: 0.500 0.500 0.500
Mg: 0.080 0.920 0.000
Mg: 0.347 0.653 0.500
Mg: 0.653 0.347 0.500
Mg: 0.920 0.080 0.000

Properties
formation energy from the elements: -0.7 kJ/mol of atoms

(8)
VASP calculation (PBE) on a relaxed structure of AcPrDy2.

Unit cell a=3.759 b=3.759 c=10.105 alpha=90.00 beta=90.00 gamma=90.00
Atoms (fractional coordinates):
Ac: 0.000 0.000 0.000
Pr: 0.000 0.000 0.500
Dy: 0.500 0.500 0.259
Dy: 0.500 0.500 0.741

Properties
formation energy from the elements: 4.4 kJ/mol of atoms
ΔE to the lowest computed polymorph: 0.006 eV per atom